This record from the Alexandria database describes crystalline BeFePd2W at its relaxed geometry. The functional is PBE.

The value obtained for the formation energy is 1.26 eV per atom. The calculation puts the mass density at 9605 kg/m3.

abc: 4.5400 3.8713 4.5400
angles: 90.00 90.00 90.00
Last column: nearest neighbours and their distance in Å.
Fractional positions:
Be (0.0000, 0.5000, 0.0000)  2 Fe 1.94
Pd (0.0000, 0.0000, 0.5000)  2 Fe 2.27
Pd (0.5000, 0.0000, 0.0000)  2 Fe 2.27
W (0.5000, 0.5000, 0.5000)  8 Pd 2.98, 4 Be 3.21
Fe (0.0000, 0.0000, 0.0000)  2 Be 1.94